## Sm6SbAs3S2 (PBE-GGA)

Data for a relaxed Sm6SbAs3S2 crystal.

Cell and atoms, written as extended XYZ:
```
12
Lattice="4.206 0.000 0.000 0.000 8.399 0.302 -2.103 -2.417 8.821" Properties=species:S:1:pos:R:3 pbc="T T T"
S 2.103 3.967 6.032
S 0.000 2.015 3.091
Sm 0.000 6.092 6.061
Sm 2.103 4.098 3.123
Sm 0.000 2.202 0.114
Sm 2.103 3.780 9.010
Sm 0.000 1.884 6.000
Sm 2.103 -0.110 3.062
Sb 2.103 0.000 0.000
As 0.000 6.180 3.165
As 2.103 -0.198 5.959
As 2.103 4.199 0.151
```

Raw formation energy, eV per atom: -1.6332
Symmetry: C2/m, No. 12

## SrPm2Y (PBE-GGA)

Data for a relaxed SrPm2Y crystal.

Cell and atoms, written as extended XYZ:
```
4
Lattice="-2.296 -2.595 3.995 4.646 -2.150 1.274 0.999 4.063 3.213" Properties=species:S:1:pos:R:3 pbc="T T T"
Pm 2.323 -1.075 0.637
Pm 0.500 2.032 1.607
Sr 1.675 -0.341 4.241
Y -1.148 -1.297 1.998
```

Symmetry: P4/mmm, No. 123
Energy relative to the lowest polymorph listed for this composition, meV/atom: 74
ΔE_f, eV per atom: 0.173

## YSbP2 (PBE-GGA)

Data for a relaxed YSbP2 crystal.

Cell and atoms, written as extended XYZ:
```
8
Lattice="6.155 0.000 0.000 0.000 6.155 0.000 3.077 3.077 6.492" Properties=species:S:1:pos:R:3 pbc="T T T"
Y 3.077 3.077 0.000
Y 3.077 6.155 3.246
Sb 6.155 3.077 3.246
Sb 0.000 0.000 0.000
P 1.507 4.616 1.623
P 7.693 7.725 4.869
P 4.616 4.584 4.869
P 4.648 1.539 1.623
```

Raw formation energy, eV per atom: -0.3036
Symmetry: I-42d, No. 122

## ReMoPt2C (PBE-GGA)

Data for a relaxed ReMoPt2C crystal.

Cell and atoms, written as extended XYZ:
```
5
Lattice="-2.958 2.114 2.119 -2.485 -3.178 -0.298 1.509 -1.519 3.622" Properties=species:S:1:pos:R:3 pbc="T T T"
C 0.000 0.000 0.000
Re -1.242 -1.589 -0.149
Mo -1.967 -1.292 2.722
Pt 0.755 -0.760 1.811
Pt -1.479 1.057 1.059
```

Symmetry: P4/mmm, No. 123
ΔE_f, eV per atom: 0.544

## SrP2AuS8 (PBE-GGA)

Data for a relaxed SrP2AuS8 crystal.

Cell and atoms, written as extended XYZ:
```
12
Lattice="5.889 0.000 0.000 -2.944 5.100 0.000 0.000 0.000 8.794" Properties=species:S:1:pos:R:3 pbc="T T T"
S 0.000 3.400 8.598
S 0.941 1.709 2.773
S -1.935 3.431 2.773
S 4.880 1.669 6.022
S 2.003 3.391 6.022
S 0.994 5.061 2.773
S 1.950 0.039 6.022
S 2.944 1.700 0.196
P 2.944 1.700 2.209
P 0.000 3.400 6.585
Au 0.000 0.000 4.397
Sr 0.000 0.000 0.000
```

Raw formation energy, eV per atom: -0.3433
Symmetry: P-3, No. 147

## Si2Sb3 (PBE-GGA)

Data for a relaxed Si2Sb3 crystal.

Cell and atoms, written as extended XYZ:
```
5
Lattice="0.007 2.239 -4.484 -3.925 0.548 3.068 2.472 4.660 2.331" Properties=species:S:1:pos:R:3 pbc="T T T"
Sb -1.950 2.364 1.177
Sb 0.000 0.000 0.000
Sb 0.504 5.083 -0.262
Si -0.707 4.708 2.349
Si -0.739 2.739 -1.435
```

Raw formation energy, eV per atom: 0.4141
Symmetry: P-3m1, No. 164
Energy relative to the lowest polymorph listed for this composition, meV/atom: 176

## Hg4SICl2 (PBE-GGA)

Data for a relaxed Hg4SICl2 crystal.

Cell and atoms, written as extended XYZ:
```
16
Lattice="7.309 0.000 0.000 0.000 8.654 0.000 0.000 0.000 8.567" Properties=species:S:1:pos:R:3 pbc="T T T"
Cl 0.191 6.801 2.122
Cl 3.846 1.853 6.405
Cl 3.846 1.853 2.161
Cl 0.191 6.801 6.445
Hg 2.416 4.668 5.750
Hg 6.363 8.317 0.000
Hg 6.140 7.903 4.283
Hg 2.709 0.336 4.283
Hg 6.071 3.986 1.467
Hg 2.416 4.668 2.817
Hg 2.485 0.750 0.000
Hg 6.071 3.986 7.100
I 3.930 6.996 0.000
I 0.276 1.658 4.283
S 0.279 1.738 0.000
S 3.934 6.915 4.283
```

Raw formation energy, eV per atom: -0.1794
Symmetry: Pmn2_1, No. 31

## Ce4Th3Sn4 (PBE-GGA)

Data for a relaxed Ce4Th3Sn4 crystal.

Cell and atoms, written as extended XYZ:
```
11
Lattice="-3.815 2.401 -6.440 -5.100 -0.773 5.931 5.478 5.298 1.928" Properties=species:S:1:pos:R:3 pbc="T T T"
Ce -1.215 -0.184 1.413
Ce 1.305 1.262 0.459
Ce -0.909 0.572 -1.534
Ce -2.619 5.276 1.082
Sn -2.292 1.442 -3.869
Sn -3.064 -0.465 3.563
Sn -1.373 2.765 0.567
Sn 3.291 3.183 1.158
Th -4.458 0.814 -0.254
Th 0.189 2.262 3.930
Th 0.831 3.849 -2.256
```

Symmetry: I-43m, No. 217
ΔE_f, eV per atom: 0.230

## La2TbPr7Tl2 (PBE-GGA)

Data for a relaxed La2TbPr7Tl2 crystal.

Cell and atoms, written as extended XYZ:
```
12
Lattice="-0.181 4.768 1.453 1.110 -1.280 4.691 16.840 5.109 2.831" Properties=species:S:1:pos:R:3 pbc="T T T"
Pr 14.741 4.197 5.725
Pr 3.672 1.377 4.869
Pr 0.464 1.744 3.072
Pr 8.674 3.522 3.122
Pr 9.094 5.074 5.853
Pr 3.027 4.400 3.250
Pr 14.096 7.220 4.106
Tb 0.000 0.000 0.000
La 5.792 2.288 1.964
La 11.977 6.309 7.011
Tl 6.001 4.008 5.094
Tl 11.767 4.589 3.881
```

Symmetry: C2/m, No. 12
ΔE_f, eV per atom: -0.036

## NbCuMo (PBE-GGA)

Data for a relaxed NbCuMo crystal.

Cell and atoms, written as extended XYZ:
```
6
Lattice="3.315 0.000 0.000 0.000 3.315 0.000 0.000 0.000 8.551" Properties=species:S:1:pos:R:3 pbc="T T T"
Cu 0.000 0.000 5.109
Cu 1.658 1.658 0.834
Nb 1.658 1.658 6.590
Nb 0.000 0.000 2.315
Mo 0.000 0.000 7.999
Mo 1.658 1.658 3.724
```

Symmetry: I4mm, No. 107
Energy relative to the lowest polymorph listed for this composition, meV/atom: 98
ΔE_f, eV per atom: 0.209

## SrTl2CdH (PBE-GGA)

Data for a relaxed SrTl2CdH crystal.

Cell and atoms, written as extended XYZ:
```
5
Lattice="-0.848 -3.761 -3.487 3.887 1.834 -2.924 2.995 -2.761 2.250" Properties=species:S:1:pos:R:3 pbc="T T T"
Tl 1.944 0.917 -1.462
Tl -0.424 -1.881 -1.743
H 0.000 0.000 0.000
Sr 1.497 -1.380 1.125
Cd 3.017 -2.344 -2.080
```

VASP energy, Ry per atom: -0.165
Symmetry: P4/mmm, No. 123

## PmDy2YN4 (PBE-GGA)

Data for a relaxed PmDy2YN4 crystal.

Cell and atoms, written as extended XYZ:
```
8
Lattice="-3.233 1.279 -0.496 -1.744 -5.325 -2.362 -0.941 -0.046 6.008" Properties=species:S:1:pos:R:3 pbc="T T T"
Dy -2.087 0.616 2.756
Dy -1.342 -2.686 1.823
N -2.287 -0.692 0.689
N -1.559 -4.035 -0.245
N -1.126 -1.337 3.891
N -3.631 -3.401 2.460
Y 0.000 0.000 0.000
Pm -2.488 -2.023 -1.429
```

Raw formation energy, eV per atom: -1.6231
Symmetry: P2/m, No. 10